Entry 1:
! YAg2AsC PBE optimized geometry; values from VASP
! Formation energy (eV per atom): 0.335
! Density of states at the Fermi level (states/eV/atom): 0.1707
! Calculated volume (Å³ per cell): 95
&SYSTEM
  ibrav = 0, nat = 5, ntyp = 4
/
ATOMIC_SPECIES
Y 88.91 Y.upf
Ag 107.87 Ag.upf
As 74.92 As.upf
C 12.01 C.upf
ATOMIC_POSITIONS crystal
Y 0.000 0.000 0.000
Ag 0.000 0.500 0.500
Ag 0.500 0.000 0.500
As 0.500 0.500 0.000
C 0.500 0.500 0.500
CELL_PARAMETERS angstrom
4.198 0.000 0.000
0.000 4.198 0.000
0.000 0.000 5.387

***

Entry 2:
! NaSnP2Cl PBE optimized geometry; values from VASP
! Raw formation energy (eV/f.u.): 3.5
! Energy above the lowest structure with this stoichiometry (eV/atom): 0.5061
! Density of states at the Fermi level (states/eV/atom): 0.8988
! Calculated volume (Å³ per cell): 126
&SYSTEM
  ibrav = 0, nat = 5, ntyp = 4
/
ATOMIC_SPECIES
Na 22.99 Na.upf
Sn 118.71 Sn.upf
P 30.97 P.upf
Cl 35.45 Cl.upf
ATOMIC_POSITIONS crystal
Na 0.000 0.000 0.000
Sn 0.500 0.500 0.500
P 0.000 0.500 0.000
P 0.500 0.000 0.000
Cl 0.000 0.000 0.500
CELL_PARAMETERS angstrom
5.009 0.000 0.000
0.000 5.009 0.000
0.000 0.000 5.010

***

Entry 3:
! ZnCu3Pd2 PBE optimized geometry; values from VASP
! Formation energy (eV per atom): -0.206
! Density of states at the Fermi level (states/eV/atom): 0.2968
! Calculated volume (Å³ per cell): 162
&SYSTEM
  ibrav = 0, nat = 12, ntyp = 3
/
ATOMIC_SPECIES
Zn 65.41 Zn.upf
Cu 63.55 Cu.upf
Pd 106.42 Pd.upf
ATOMIC_POSITIONS crystal
Zn 0.130 0.130 0.129
Zn 0.870 0.870 0.871
Cu 0.045 0.045 0.387
Cu 0.287 0.287 0.611
Cu 0.379 0.379 0.388
Cu 0.621 0.621 0.612
Cu 0.713 0.713 0.389
Cu 0.955 0.955 0.613
Pd 0.209 0.209 0.859
Pd 0.471 0.471 0.141
Pd 0.529 0.529 0.859
Pd 0.791 0.791 0.141
CELL_PARAMETERS angstrom
5.687 -1.878 0.000
5.687 1.878 0.000
-3.762 0.000 7.576

***

Entry 4:
! HoEr2Pb9 PBE optimized geometry; values from VASP
! Formation energy (eV per atom): -0.245
! Density of states at the Fermi level (states/eV/atom): 0.5994
! Calculated volume (Å³ per cell): 346
&SYSTEM
  ibrav = 0, nat = 12, ntyp = 3
/
ATOMIC_SPECIES
Ho 164.93 Ho.upf
Er 167.26 Er.upf
Pb 207.20 Pb.upf
ATOMIC_POSITIONS crystal
Ho 0.000 0.000 0.000
Er 0.000 0.000 0.333
Er 0.000 0.000 0.667
Pb 0.000 0.500 0.167
Pb 0.000 0.500 0.500
Pb 0.000 0.500 0.833
Pb 0.500 0.000 0.167
Pb 0.500 0.000 0.500
Pb 0.500 0.000 0.833
Pb 0.500 0.500 0.000
Pb 0.500 0.500 0.334
Pb 0.500 0.500 0.666
CELL_PARAMETERS angstrom
4.868 0.000 0.000
0.000 4.868 0.000
0.000 0.000 14.622

***

Entry 5:
! SrBeRu2 PBE optimized geometry; values from VASP
! Formation energy (eV per atom): 0.314
! Density of states at the Fermi level (states/eV/atom): 0.5652
! Calculated volume (Å³ per cell): 68
&SYSTEM
  ibrav = 0, nat = 4, ntyp = 3
/
ATOMIC_SPECIES
Sr 87.62 Sr.upf
Be 9.01 Be.upf
Ru 101.07 Ru.upf
ATOMIC_POSITIONS crystal
Sr 0.000 0.000 0.000
Be 0.500 0.500 0.339
Ru 0.000 0.000 0.462
Ru 0.500 0.500 0.676
CELL_PARAMETERS angstrom
3.075 0.000 0.000
0.000 3.075 0.000
0.000 0.000 7.234

***

Entry 6:
! TmScSe PBE optimized geometry; values from VASP
! Raw formation energy (eV/f.u.): -3.1
! Energy above the lowest structure with this stoichiometry (eV/atom): 0.0749
! Density of states at the Fermi level (states/eV/atom): 1.2539
! Calculated volume (Å³ per cell): 149
&SYSTEM
  ibrav = 0, nat = 6, ntyp = 3
/
ATOMIC_SPECIES
Tm 168.93 Tm.upf
Sc 44.96 Sc.upf
Se 78.96 Se.upf
ATOMIC_POSITIONS crystal
Tm 0.106 0.106 0.276
Tm 0.894 0.894 0.724
Sc 0.389 0.389 0.222
Sc 0.611 0.611 0.778
Se 0.248 0.248 0.755
Se 0.752 0.752 0.245
CELL_PARAMETERS angstrom
6.952 -1.864 0.000
6.952 1.864 0.000
-2.901 0.000 5.730

***

What are the raw total energy values for these records? In order: -24.365; -14.487; -50.362; -50.016; -22.704; -34.799 eV/cell.